Entry 1:
Below is an optimized crystal structure of Pm2Mn2Ni15, with properties calculated at the PBE level.

Computed properties:
Fermi-level density of states: 19.54 states/eV/cell
formation enthalpy at 0 K: -0.194 eV per atom
final energy: -6.223 eV/atom

Cell lengths 6.3357, 6.3357, 6.3357 Å; angles 82.77, 82.77, 82.77 degrees
Last column: nearest neighbours and their distance in Å.
Fractional positions:
Pm: 0.1542 0.1542 0.1542  18 Ni 2.98-3.27, 1 Mn 3.00
Pm: 0.8458 0.8458 0.8458  18 Ni 2.98-3.27, 1 Mn 3.00
Mn: 0.3986 0.3986 0.3986  1 Mn 2.49, 12 Ni 2.55-2.75
Mn: 0.6014 0.6014 0.6014  1 Mn 2.49, 12 Ni 2.55-2.75
Ni: 0.0000 0.5000 0.5000  8 Ni 2.40-2.41, 2 Mn 2.55
Ni: 0.1572 0.1572 0.6532  8 Ni 2.41-2.58, 1 Mn 2.57
Ni: 0.1572 0.6532 0.1572  8 Ni 2.41-2.58, 1 Mn 2.57
Ni: 0.2069 0.5000 0.7931  8 Ni 2.40-2.58
Ni: 0.2069 0.7931 0.5000  8 Ni 2.40-2.58
Ni: 0.3468 0.8428 0.8428  8 Ni 2.41-2.58, 1 Mn 2.57
Ni: 0.5000 0.0000 0.5000  8 Ni 2.40-2.41, 2 Mn 2.55
Ni: 0.5000 0.2069 0.7931  8 Ni 2.40-2.58
Ni: 0.5000 0.5000 0.0000  8 Ni 2.40-2.41, 2 Mn 2.55
Ni: 0.5000 0.7931 0.2069  8 Ni 2.40-2.58
Ni: 0.6532 0.1572 0.1572  8 Ni 2.41-2.58, 1 Mn 2.57
Ni: 0.7931 0.2069 0.5000  8 Ni 2.40-2.58
Ni: 0.7931 0.5000 0.2069  8 Ni 2.40-2.58
Ni: 0.8428 0.3468 0.8428  8 Ni 2.41-2.58, 1 Mn 2.57
Ni: 0.8428 0.8428 0.3468  8 Ni 2.41-2.58, 1 Mn 2.57

Entry 2:
Below is an optimized crystal structure of PmMnNi, with properties calculated at the PBE level.

Computed properties:
ΔE to the lowest computed polymorph: 0.00 eV per formula unit
Fermi-level density of states: 7.70 states/eV/cell
formation enthalpy at 0 K: -0.097 eV per atom
final energy: -6.664 eV/atom

Cell lengths 5.3683, 5.4175, 7.2185 Å; angles 90.00, 90.00, 90.00 degrees
Last column: nearest neighbours and their distance in Å.
Fractional positions:
Pm: 0.0000 0.2500 0.1194  6 Ni 2.99-3.17, 6 Mn 3.06-3.13, 4 Pm 3.21-3.28
Pm: 0.0000 0.7500 0.8806  6 Ni 2.99-3.17, 6 Mn 3.06-3.13, 4 Pm 3.21-3.28
Pm: 0.5000 0.2500 0.3806  6 Ni 2.99-3.17, 6 Mn 3.06-3.13, 4 Pm 3.21-3.28
Pm: 0.5000 0.7500 0.6194  6 Ni 2.99-3.17, 6 Mn 3.06-3.13, 4 Pm 3.21-3.28
Mn: 0.0000 0.0000 0.5000  4 Ni 2.63, 2 Mn 2.71
Mn: 0.0000 0.5000 0.5000  4 Ni 2.63, 2 Mn 2.71
Mn: 0.5000 0.0000 0.0000  4 Ni 2.63, 2 Mn 2.71
Mn: 0.5000 0.5000 0.0000  4 Ni 2.63, 2 Mn 2.71
Ni: 0.2500 0.2500 0.7500  4 Mn 2.63, 2 Ni 2.68
Ni: 0.2500 0.7500 0.2500  4 Mn 2.63, 2 Ni 2.68
Ni: 0.7500 0.2500 0.7500  4 Mn 2.63, 2 Ni 2.68
Ni: 0.7500 0.7500 0.2500  4 Mn 2.63, 2 Ni 2.68

Entry 3:
Below is an optimized crystal structure of PmMnNi, with properties calculated at the PBE level.

Computed properties:
ΔE to the lowest computed polymorph: 0.13 eV per formula unit
Fermi-level density of states: 2.30 states/eV/cell
formation enthalpy at 0 K: -0.055 eV per atom
final energy: -6.622 eV/atom

Cell lengths 4.0116, 4.0116, 4.1800 Å; angles 90.00, 90.00, 120.00 degrees
Last column: nearest neighbours and their distance in Å.
Fractional positions:
Pm: 0.0000 0.0000 0.0000  6 Ni 3.12, 6 Mn 3.12
Mn: 0.3333 0.6667 0.5000  3 Ni 2.32
Ni: 0.6667 0.3333 0.5000  3 Mn 2.32

Entry 4:
Below is an optimized crystal structure of Pm3MnNi8, with properties calculated at the PBE level.

Computed properties:
Fermi-level density of states: 9.94 states/eV/cell
formation enthalpy at 0 K: -0.275 eV per atom
final energy: -6.081 eV/atom

Cell lengths 8.7812, 8.7812, 8.7812 Å; angles 33.38, 33.38, 33.38 degrees
Last column: nearest neighbours and their distance in Å.
Fractional positions:
Pm: 0.0000 0.0000 0.0000  12 Ni 2.97-3.05, 4 Pm 3.19
Pm: 0.1282 0.1282 0.1282  12 Ni 2.82-3.00, 3 Mn 3.01
Pm: 0.6146 0.6146 0.6146  12 Ni 2.88-3.22, 1 Mn 3.04, 3 Pm 3.19
Mn: 0.4921 0.4921 0.4921  12 Ni 2.78-3.01, 4 Pm 3.01-3.04
Ni: 0.0576 0.0576 0.5604  6 Ni 2.47-2.58
Ni: 0.0576 0.5604 0.0576  6 Ni 2.47-2.58
Ni: 0.0668 0.5611 0.5611  6 Ni 2.49-2.57, 1 Mn 2.78
Ni: 0.3106 0.3106 0.3106  6 Ni 2.57-2.58
Ni: 0.5604 0.0576 0.0576  6 Ni 2.47-2.58
Ni: 0.5611 0.0668 0.5611  6 Ni 2.49-2.57, 1 Mn 2.78
Ni: 0.5611 0.5611 0.0668  6 Ni 2.49-2.57, 1 Mn 2.78
Ni: 0.8113 0.8113 0.8113  6 Ni 2.47-2.51

Entry 5:
Below is an optimized crystal structure of Pm2MnNi3Pt12, with properties calculated at the PBE level.

Computed properties:
Fermi-level density of states: 19.84 states/eV/cell
formation enthalpy at 0 K: -0.109 eV per atom
final energy: -6.137 eV/atom

Cell lengths 9.3872, 9.3872, 9.3872 Å; angles 42.03, 42.03, 42.03 degrees
Last column: nearest neighbours and their distance in Å.
Fractional positions:
Pm: 0.1569 0.1569 0.1569  6 Pt 3.00-3.21
Pm: 0.8431 0.8431 0.8431  6 Pt 3.00-3.21
Mn: 0.5000 0.5000 0.5000  6 Pt 2.42
Ni: 0.0000 0.5000 0.5000  6 Pt 2.48-2.52
Ni: 0.5000 0.0000 0.5000  6 Pt 2.48-2.52
Ni: 0.5000 0.5000 0.0000  6 Pt 2.48-2.52
Pt: 0.0865 0.0865 0.6850  2 Ni 2.48, 4 Pt 2.62-2.70
Pt: 0.0865 0.6850 0.0865  2 Ni 2.48, 4 Pt 2.62-2.70
Pt: 0.1468 0.5734 0.5734  1 Mn 2.42, 1 Ni 2.52, 2 Pt 2.62
Pt: 0.3150 0.9135 0.9135  2 Ni 2.48, 4 Pt 2.62-2.70
Pt: 0.4266 0.4266 0.8532  1 Mn 2.42, 1 Ni 2.52, 2 Pt 2.62
Pt: 0.4266 0.8532 0.4266  1 Mn 2.42, 1 Ni 2.52, 2 Pt 2.62
Pt: 0.5734 0.1468 0.5734  1 Mn 2.42, 1 Ni 2.52, 2 Pt 2.62
Pt: 0.5734 0.5734 0.1468  1 Mn 2.42, 1 Ni 2.52, 2 Pt 2.62
Pt: 0.6850 0.0865 0.0865  2 Ni 2.48, 4 Pt 2.62-2.70
Pt: 0.8532 0.4266 0.4266  1 Mn 2.42, 1 Ni 2.52, 2 Pt 2.62
Pt: 0.9135 0.3150 0.9135  2 Ni 2.48, 4 Pt 2.62-2.70
Pt: 0.9135 0.9135 0.3150  2 Ni 2.48, 4 Pt 2.62-2.70

Entry 6:
Below is an optimized crystal structure of PmMnNiRh, with properties calculated at the PBE level.

Computed properties:
Fermi-level density of states: 8.91 states/eV/cell
formation enthalpy at 0 K: -0.165 eV per atom
final energy: -6.928 eV/atom

Cell lengths 6.5367, 6.5367, 6.5367 Å; angles 90.00, 90.00, 90.00 degrees
Last column: nearest neighbours and their distance in Å.
Fractional positions:
Pm: 0.0000 0.0000 0.0000  4 Ni 2.83, 4 Rh 2.83
Pm: 0.0000 0.5000 0.5000  4 Ni 2.83, 4 Rh 2.83
Pm: 0.5000 0.0000 0.5000  4 Ni 2.83, 4 Rh 2.83
Pm: 0.5000 0.5000 0.0000  4 Ni 2.83, 4 Rh 2.83
Mn: 0.0000 0.0000 0.5000  4 Rh 2.83, 4 Ni 2.83
Mn: 0.0000 0.5000 0.0000  4 Rh 2.83, 4 Ni 2.83
Mn: 0.5000 0.0000 0.0000  4 Rh 2.83, 4 Ni 2.83
Mn: 0.5000 0.5000 0.5000  4 Rh 2.83, 4 Ni 2.83
Ni: 0.2500 0.2500 0.2500  4 Mn 2.83, 4 Pm 2.83
Ni: 0.2500 0.7500 0.7500  4 Mn 2.83, 4 Pm 2.83
Ni: 0.7500 0.2500 0.7500  4 Mn 2.83, 4 Pm 2.83
Ni: 0.7500 0.7500 0.2500  4 Mn 2.83, 4 Pm 2.83
Rh: 0.2500 0.2500 0.7500  4 Mn 2.83, 4 Pm 2.83
Rh: 0.2500 0.7500 0.2500  4 Mn 2.83, 4 Pm 2.83
Rh: 0.7500 0.2500 0.2500  4 Mn 2.83, 4 Pm 2.83
Rh: 0.7500 0.7500 0.7500  4 Mn 2.83, 4 Pm 2.83

Q: Number 3 is which compound?
A: PmMnNi